[1]
# GGA-PBE BaInOs2, relaxed
# Calculated volume in A^3/atom: 20.5
# Space-group type: No. 12
# Formation energy from the elements in meV per atom: 1257
# Crystal system: monoclinic
data_BaInOs2
_chemical_formula_sum 'Ba1 In1 Os2'
_cell_length_a 5.777
_cell_length_b 5.777
_cell_length_c 3.011
_cell_angle_alpha 75.91
_cell_angle_beta 75.91
_cell_angle_gamma 113.97
_symmetry_space_group_name_H-M 'P 1'
_symmetry_Int_Tables_number 1
loop_
_symmetry_equiv_pos_as_xyz
'x,y,z'
loop_
_atom_site_label
_atom_site_type_symbol
_atom_site_fract_x
_atom_site_fract_y
_atom_site_fract_z
Ba1 Ba 0.500 0.000 0.500
In1 In 0.000 0.500 0.500
Os1 Os 0.000 0.000 0.000
Os2 Os 0.500 0.500 0.000

---

[2]
# GGA-PBE BaInOs2, relaxed
# Calculated volume in A^3/atom: 21.3
# Space-group type: No. 65
# Formation energy from the elements in meV per atom: 1315
# Crystal system: orthorhombic
data_BaInOs2
_chemical_formula_sum 'Ba1 In1 Os2'
_cell_length_a 5.578
_cell_length_b 5.578
_cell_length_c 2.866
_cell_angle_alpha 90.00
_cell_angle_beta 90.00
_cell_angle_gamma 107.37
_symmetry_space_group_name_H-M 'P 1'
_symmetry_Int_Tables_number 1
loop_
_symmetry_equiv_pos_as_xyz
'x,y,z'
loop_
_atom_site_label
_atom_site_type_symbol
_atom_site_fract_x
_atom_site_fract_y
_atom_site_fract_z
Ba1 Ba 0.500 0.000 0.500
In1 In 0.000 0.500 0.500
Os1 Os 0.000 0.000 0.000
Os2 Os 0.500 0.500 0.000

---

[3]
# GGA-PBE BaInOs2, relaxed
# Calculated volume in A^3/atom: 23.3
# Space-group type: No. 123
# Formation energy from the elements in meV per atom: 973
# Crystal system: tetragonal
data_BaInOs2
_chemical_formula_sum 'Ba1 In1 Os2'
_cell_length_a 3.603
_cell_length_b 3.603
_cell_length_c 7.165
_cell_angle_alpha 90.00
_cell_angle_beta 90.00
_cell_angle_gamma 90.00
_symmetry_space_group_name_H-M 'P 1'
_symmetry_Int_Tables_number 1
loop_
_symmetry_equiv_pos_as_xyz
'x,y,z'
loop_
_atom_site_label
_atom_site_type_symbol
_atom_site_fract_x
_atom_site_fract_y
_atom_site_fract_z
Os1 Os 0.000 0.000 0.923
Ba1 Ba 0.500 0.500 0.250
In1 In 0.500 0.500 0.750
Os2 Os 0.000 0.000 0.577

---

[4]
# GGA-PBE BaInOs2, relaxed
# Calculated volume in A^3/atom: 26.9
# Space-group type: No. 160
# Formation energy from the elements in meV per atom: 233
# Crystal system: trigonal
data_BaInOs2
_chemical_formula_sum 'Ba1 In1 Os2'
_cell_length_a 4.292
_cell_length_b 4.292
_cell_length_c 7.180
_cell_angle_alpha 72.62
_cell_angle_beta 72.62
_cell_angle_gamma 59.99
_symmetry_space_group_name_H-M 'P 1'
_symmetry_Int_Tables_number 1
loop_
_symmetry_equiv_pos_as_xyz
'x,y,z'
loop_
_atom_site_label
_atom_site_type_symbol
_atom_site_fract_x
_atom_site_fract_y
_atom_site_fract_z
Os1 Os 0.700 0.700 0.900
Os2 Os 0.027 0.027 0.918
In1 In 0.285 0.285 0.144
Ba1 Ba 0.487 0.487 0.538

---

[5]
# GGA-PBE BaInOs2, relaxed
# Calculated volume in A^3/atom: 24.1
# Space-group type: No. 12
# Formation energy from the elements in meV per atom: 812
# Crystal system: monoclinic
data_BaInOs2
_chemical_formula_sum 'Ba1 In1 Os2'
_cell_length_a 5.096
_cell_length_b 5.096
_cell_length_c 6.489
_cell_angle_alpha 79.75
_cell_angle_beta 79.75
_cell_angle_gamma 35.54
_symmetry_space_group_name_H-M 'P 1'
_symmetry_Int_Tables_number 1
loop_
_symmetry_equiv_pos_as_xyz
'x,y,z'
loop_
_atom_site_label
_atom_site_type_symbol
_atom_site_fract_x
_atom_site_fract_y
_atom_site_fract_z
Os1 Os 0.520 0.520 0.396
Os2 Os 0.980 0.980 0.104
Ba1 Ba 0.750 0.750 0.750
In1 In 0.250 0.250 0.250

---

[6]
# GGA-PBE BaInOs2, relaxed
# Calculated volume in A^3/atom: 22.7
# Space-group type: No. 25
# Formation energy from the elements in meV per atom: 399
# Crystal system: orthorhombic
data_BaInOs2
_chemical_formula_sum 'Ba1 In1 Os2'
_cell_length_a 3.720
_cell_length_b 2.972
_cell_length_c 8.727
_cell_angle_alpha 70.06
_cell_angle_beta 90.00
_cell_angle_gamma 90.00
_symmetry_space_group_name_H-M 'P 1'
_symmetry_Int_Tables_number 1
loop_
_symmetry_equiv_pos_as_xyz
'x,y,z'
loop_
_atom_site_label
_atom_site_type_symbol
_atom_site_fract_x
_atom_site_fract_y
_atom_site_fract_z
In1 In 0.500 0.687 0.813
Ba1 Ba 0.000 0.524 0.477
Os1 Os 0.000 0.957 0.043
Os2 Os 0.500 0.332 0.167

---

[7]
# GGA-PBE BaInOs2, relaxed
# Calculated volume in A^3/atom: 28.2
# Space-group type: No. 122
# Formation energy from the elements in meV per atom: 729
# Crystal system: tetragonal
data_BaInOs2
_chemical_formula_sum 'Ba2 In2 Os4'
_cell_length_a 4.870
_cell_length_b 4.870
_cell_length_c 10.104
_cell_angle_alpha 76.06
_cell_angle_beta 76.06
_cell_angle_gamma 90.00
_symmetry_space_group_name_H-M 'P 1'
_symmetry_Int_Tables_number 1
loop_
_symmetry_equiv_pos_as_xyz
'x,y,z'
loop_
_atom_site_label
_atom_site_type_symbol
_atom_site_fract_x
_atom_site_fract_y
_atom_site_fract_z
Os1 Os 0.875 0.669 0.750
Os2 Os 0.331 0.625 0.250
In1 In 0.250 0.750 0.500
Ba1 Ba 0.750 0.250 0.500
In2 In 0.500 0.500 0.000
Ba2 Ba 0.000 0.000 0.000
Os3 Os 0.419 0.125 0.250
Os4 Os 0.375 0.581 0.750

---

[8]
# GGA-PBE BaInOs2Ru, relaxed
# Calculated volume in A^3/atom: 25.8
# Space-group type: No. 123
# Formation energy from the elements in meV per atom: 1415
# Crystal system: tetragonal
data_BaInOs2Ru
_chemical_formula_sum 'Ba1 In1 Os2 Ru1'
_cell_length_a 4.787
_cell_length_b 5.624
_cell_length_c 4.787
_cell_angle_alpha 90.00
_cell_angle_beta 90.00
_cell_angle_gamma 90.00
_symmetry_space_group_name_H-M 'P 1'
_symmetry_Int_Tables_number 1
loop_
_symmetry_equiv_pos_as_xyz
'x,y,z'
loop_
_atom_site_label
_atom_site_type_symbol
_atom_site_fract_x
_atom_site_fract_y
_atom_site_fract_z
Os1 Os 0.500 0.000 0.000
Os2 Os 0.000 0.000 0.500
In1 In 0.500 0.500 0.500
Ba1 Ba 0.000 0.500 0.000
Ru1 Ru 0.000 0.000 0.000

---

[9]
# GGA-PBE BaInTeOs2, relaxed
# Calculated volume in A^3/atom: 30.5
# Space-group type: No. 123
# Raw formation energy in eV per formula unit: 6.94
# Crystal system: tetragonal
data_BaInTeOs2
_chemical_formula_sum 'Ba1 In1 Te1 Os2'
_cell_length_a 5.100
_cell_length_b 5.855
_cell_length_c 5.100
_cell_angle_alpha 90.00
_cell_angle_beta 90.00
_cell_angle_gamma 90.00
_symmetry_space_group_name_H-M 'P 1'
_symmetry_Int_Tables_number 1
loop_
_symmetry_equiv_pos_as_xyz
'x,y,z'
loop_
_atom_site_label
_atom_site_type_symbol
_atom_site_fract_x
_atom_site_fract_y
_atom_site_fract_z
Ba1 Ba 0.500 0.500 0.500
Te1 Te 0.000 0.500 0.000
Os1 Os 0.500 0.000 0.000
Os2 Os 0.000 0.000 0.500
In1 In 0.000 0.000 0.000

---

[10]
# GGA-PBE Ba2InOsW, relaxed
# Calculated volume in A^3/atom: 42.5
# Space-group type: No. 123
# Formation energy from the elements in meV per atom: 2040
# Crystal system: tetragonal
data_Ba2InOsW
_chemical_formula_sum 'Ba2 In1 Os1 W1'
_cell_length_a 6.413
_cell_length_b 5.168
_cell_length_c 6.413
_cell_angle_alpha 90.00
_cell_angle_beta 90.00
_cell_angle_gamma 90.00
_symmetry_space_group_name_H-M 'P 1'
_symmetry_Int_Tables_number 1
loop_
_symmetry_equiv_pos_as_xyz
'x,y,z'
loop_
_atom_site_label
_atom_site_type_symbol
_atom_site_fract_x
_atom_site_fract_y
_atom_site_fract_z
Ba1 Ba 0.000 0.000 0.500
Ba2 Ba 0.500 0.000 0.000
Os1 Os 0.500 0.500 0.500
In1 In 0.000 0.000 0.000
W1 W 0.000 0.500 0.000